i) Density functional theory data (PBE) for a relaxed structure of Ac5La4Pm.

Computed properties:
- Space group: No. 123

Unit cell a=3.881 b=3.881 c=26.949 alpha=90.00 beta=90.00 gamma=90.00
Element x y z (fractional)
Ac  0.000  0.000  0.000
Ac  0.000  0.000  0.202
Ac  0.000  0.000  0.403
Ac  0.000  0.000  0.597
Ac  0.000  0.000  0.798
La  0.500  0.500  0.101
La  0.500  0.500  0.303
La  0.500  0.500  0.697
La  0.500  0.500  0.899
Pm  0.500  0.500  0.500

---

ii) Density functional theory data (PBE) for a relaxed structure of Ac5La4Pm.

Computed properties:
- Space group: No. 59

Unit cell a=11.276 b=12.249 c=6.194 alpha=90.00 beta=90.00 gamma=90.00
Element x y z (fractional)
Ac  0.057  0.053  0.250
Ac  0.057  0.447  0.250
Ac  0.250  0.750  0.748
Ac  0.443  0.053  0.250
Ac  0.443  0.447  0.250
Ac  0.557  0.553  0.750
Ac  0.557  0.947  0.750
Ac  0.750  0.250  0.252
Ac  0.943  0.553  0.750
Ac  0.943  0.947  0.750
La  0.012  0.750  0.249
La  0.250  0.069  0.751
La  0.250  0.431  0.751
La  0.488  0.750  0.249
La  0.512  0.250  0.751
La  0.750  0.569  0.249
La  0.750  0.931  0.249
La  0.988  0.250  0.751
Pm  0.250  0.250  0.252
Pm  0.750  0.750  0.748

---

Referenced to the most stable arrangement, the calculated values in kJ/mol of atoms are i) 0.0; ii) 17.5.

---

i) Density functional theory data (PBE) for a relaxed structure of Ac2LaPm6.

Computed properties:
- Space group: No. 15

Unit cell a=9.910 b=9.910 c=7.050 alpha=98.17 beta=98.17 gamma=95.22
Element x y z (fractional)
Ac  0.114  0.179  0.375
Ac  0.179  0.114  0.875
Ac  0.821  0.886  0.125
Ac  0.886  0.821  0.625
La  0.383  0.617  0.750
La  0.617  0.383  0.250
Pm  0.040  0.455  0.744
Pm  0.167  0.782  0.009
Pm  0.218  0.833  0.491
Pm  0.283  0.462  0.177
Pm  0.455  0.040  0.244
Pm  0.462  0.283  0.677
Pm  0.538  0.717  0.323
Pm  0.545  0.960  0.756
Pm  0.717  0.538  0.823
Pm  0.782  0.167  0.509
Pm  0.833  0.218  0.991
Pm  0.960  0.545  0.256

---

ii) Density functional theory data (PBE) for a relaxed structure of Ac2LaPm6.

Computed properties:
- Space group: No. 162

Unit cell a=10.435 b=10.435 c=3.555 alpha=90.00 beta=90.00 gamma=120.00
Element x y z (fractional)
Ac  0.333  0.667  0.000
Ac  0.667  0.333  0.000
La  0.000  0.000  0.500
Pm  0.000  0.330  0.724
Pm  0.000  0.670  0.276
Pm  0.330  0.000  0.724
Pm  0.330  0.330  0.276
Pm  0.670  0.000  0.276
Pm  0.670  0.670  0.724

---

Referenced to the most stable arrangement, the calculated values in kJ/mol of atoms are i) 0.0; ii) 5.0.

---

i) Density functional theory data (PBE) for a relaxed structure of Ac3La8Pm3.

Computed properties:
- Space group: No. 71

Unit cell a=10.207 b=10.207 c=10.207 alpha=146.00 beta=112.91 gamma=77.39
Element x y z (fractional)
Ac  0.000  0.000  0.000
Ac  0.181  0.681  0.500
Ac  0.819  0.319  0.500
La  0.117  0.279  0.838
La  0.234  0.896  0.338
La  0.442  0.104  0.338
La  0.442  0.279  0.162
La  0.558  0.721  0.838
La  0.558  0.896  0.662
La  0.766  0.104  0.662
La  0.883  0.721  0.162
Pm  0.204  0.500  0.704
Pm  0.500  0.500  0.000
Pm  0.796  0.500  0.296

---

ii) Density functional theory data (PBE) for a relaxed structure of Ac3La8Pm3.

Computed properties:
- Space group: No. 71

Unit cell a=10.003 b=10.003 c=10.003 alpha=146.03 beta=95.21 gamma=94.58
Element x y z (fractional)
Ac  0.000  0.000  0.000
Ac  0.282  0.282  0.000
Ac  0.718  0.718  0.000
La  0.018  0.638  0.379
La  0.121  0.856  0.265
La  0.259  0.638  0.621
La  0.409  0.144  0.265
La  0.591  0.856  0.735
La  0.741  0.362  0.379
La  0.879  0.144  0.735
La  0.982  0.362  0.621
Pm  0.346  0.500  0.846
Pm  0.500  0.000  0.500
Pm  0.654  0.500  0.154

---

Referenced to the most stable arrangement, the calculated values in kJ/mol of atoms are i) 0.0; ii) 5.6.